SiBS3 | PBE | optimized geometry

The structure in CIF format:
```
data_SiBS3
_chemical_formula_sum 'Si1 B1 S3'
_space_group_name_H-M_alt 'P m -3 m'
_space_group_IT_number 221
_space_group_name_Hall '-P 4 2 3'
_cell_length_a 4.1779
_cell_length_b 4.1779
_cell_length_c 4.1779
_cell_angle_alpha 90.00
_cell_angle_beta 90.00
_cell_angle_gamma 90.00
loop_
_atom_site_label
_atom_site_type_symbol
_atom_site_fract_x
_atom_site_fract_y
_atom_site_fract_z
_atom_site_occupancy
Si1 Si 0.0000 0.0000 0.0000 1
B1 B 0.5000 0.5000 0.5000 1
S1 S 0.0000 0.5000 0.5000 1
```

Values from the calculation:
E_tot	-4.187	eV per atom
energy relative to the lowest polymorph listed for this composition	903	meV/atom
formation energy without anion corrections	0.7099	eV/atom
total magnetization	0.000	Bohr magnetons per cell

Ho2BiPt9 | PBE | optimized geometry

The structure in CIF format:
```
data_Ho2BiPt9
_chemical_formula_sum 'Ho2 Bi1 Pt9'
_space_group_name_H-M_alt 'P 4/m m m'
_space_group_IT_number 123
_space_group_name_Hall '-P 4 2'
_cell_length_a 4.1196
_cell_length_b 4.1196
_cell_length_c 12.4339
_cell_angle_alpha 90.00
_cell_angle_beta 90.00
_cell_angle_gamma 90.00
loop_
_atom_site_label
_atom_site_type_symbol
_atom_site_fract_x
_atom_site_fract_y
_atom_site_fract_z
_atom_site_occupancy
Ho1 Ho 0.0000 0.0000 0.1622 1
Bi1 Bi 0.0000 0.0000 0.5000 1
Pt1 Pt 0.0000 0.5000 0.0000 1
Pt2 Pt 0.0000 0.5000 0.3293 1
Pt3 Pt 0.5000 0.5000 0.1669 1
Pt4 Pt 0.5000 0.5000 0.5000 1
```

Values from the calculation:
E_tot	-6.342	eV per atom
formation energy	-724.7	meV/atom
total magnetization	0.000	Bohr magnetons per cell

Pm4Al3Ga | PBE | optimized geometry

The structure in CIF format:
```
data_Pm4Al3Ga
_chemical_formula_sum 'Pm4 Al3 Ga1'
_space_group_name_H-M_alt 'P 4/m m m'
_space_group_IT_number 123
_space_group_name_Hall '-P 4 2'
_cell_length_a 3.6912
_cell_length_b 3.6912
_cell_length_c 14.7867
_cell_angle_alpha 90.00
_cell_angle_beta 90.00
_cell_angle_gamma 90.00
loop_
_atom_site_label
_atom_site_type_symbol
_atom_site_fract_x
_atom_site_fract_y
_atom_site_fract_z
_atom_site_occupancy
Pm1 Pm 0.0000 0.0000 0.1232 1
Pm2 Pm 0.0000 0.0000 0.3749 1
Al1 Al 0.5000 0.5000 0.2496 1
Al2 Al 0.5000 0.5000 0.5000 1
Ga1 Ga 0.5000 0.5000 0.0000 1
```

Values from the calculation:
E_tot	-4.575	eV per atom
formation energy	-417.9	meV/atom
total magnetization	0.000	Bohr magnetons per cell

Pr2AlCo3Ni12 | PBE | optimized geometry

The structure in CIF format:
```
data_Pr2AlCo3Ni12
_chemical_formula_sum 'Pr6 Al3 Co9 Ni36'
_space_group_name_H-M_alt 'R -3 m'
_space_group_IT_number 166
_space_group_name_Hall '-R 3 2"'
_cell_length_a 8.3526
_cell_length_b 8.3526
_cell_length_c 12.0880
_cell_angle_alpha 90.00
_cell_angle_beta 90.00
_cell_angle_gamma 120.00
loop_
_atom_site_label
_atom_site_type_symbol
_atom_site_fract_x
_atom_site_fract_y
_atom_site_fract_z
_atom_site_occupancy
Pr1 Pr 0.0000 0.0000 0.2246 1
Al1 Al 0.0000 0.0000 0.5000 1
Co1 Co 0.0000 0.5000 0.0000 1
Ni1 Ni 0.0230 0.5115 0.2096 1
Ni2 Ni 0.0471 0.5235 0.6036 1
```

Values from the calculation:
E_tot	-5.703	eV per atom
formation energy	74.7	meV/atom
total magnetization	23.796	Bohr magnetons per cell